(1)
# EuGdNiRu

A relaxed EuGdNiRu crystal (PBE, Alexandria via LeMat-Bulk).

Calculated values
The theoretical density comes out at 9.4 g/cm³. The formation energy comes out at -59 meV per atom. The density of states at the Fermi level is 2.448 states/eV per atom.

a b c (Å): 6.908 6.908 6.908
angles (deg): 90.00 90.00 90.00
Space group F-43m (No. 216)
Unique sites:
Eu1 0.000 0.000 0.000 x4
Gd1 0.000 0.000 0.500 x4
Ni1 0.250 0.250 0.750 x4
Ru1 0.250 0.250 0.250 x4



(2)
# OsRh3F

A relaxed OsRh3F crystal (PBE, Alexandria via LeMat-Bulk).

Calculated values
The theoretical density comes out at 11.9 g/cm³. The density of states at the Fermi level is 1.609 states/eV per atom. Its uncorrected formation energy is 1.028 eV/atom. For the energy above the lowest structure with this stoichiometry, the calculation gives 0.000 eV/atom.

a b c (Å): 4.168 4.168 4.168
angles (deg): 90.00 90.00 90.00
Space group Pm-3m (No. 221)
Unique sites:
Os1 0.000 0.000 0.000 x1
Rh1 0.000 0.500 0.500 x3
F1 0.500 0.500 0.500 x1